The following is a DFT calculation (SCAN) of ZnIn3 at its PBEsol-relaxed geometry.

## Properties
Electronic total energy   -28.29 eV/atom
Crystal system   trigonal
Total moment   0.00 μB per cell
Formation energy from the elements   0.127 eV/atom

Lattice parameters (Å, degrees): 3.3094 3.3094 28.7798 90.00 90.00 120.00
Space group R-3m (No. 166, hexagonal axes)
Asymmetric unit:
Zn  0.0000  0.0000  0.0000 (multiplicity 3)
In  0.0000  0.0000  0.2583 (multiplicity 6)
In  0.0000  0.0000  0.5000 (multiplicity 3)

The following is a DFT calculation (SCAN) of Sr2VCO3F5 at its PBEsol-relaxed geometry.

## Properties
Electronic total energy   -12.24 eV/atom
Uncorrected formation energy   -3.1907 eV/atom
Crystal system   monoclinic
Total moment   8.00 μB per cell

Lattice parameters (Å, degrees): 5.511 8.763 13.676 90.00 105.43 90.00
Space group P2_1/c (No. 14)
Asymmetric unit:
Sr  0.192  0.108  0.404 (multiplicity 4)
Sr  0.192  0.642  0.414 (multiplicity 4)
V  0.306  0.628  0.671 (multiplicity 4)
C  0.317  0.124  0.636 (multiplicity 4)
O  0.084  0.121  0.581 (multiplicity 4)
O  0.361  0.129  0.733 (multiplicity 4)
O  0.495  0.123  0.590 (multiplicity 4)
F  0.029  0.128  0.934 (multiplicity 4)
F  0.171  0.715  0.237 (multiplicity 4)
F  0.175  0.040  0.228 (multiplicity 4)
F  0.394  0.716  0.085 (multiplicity 4)
F  0.419  0.013  0.085 (multiplicity 4)

The following is a DFT calculation (SCAN) of HgBiP2O at its PBEsol-relaxed geometry.

## Properties
Electronic total energy   -33.96 eV/atom
Uncorrected formation energy   0.7993 eV/atom
Crystal system   tetragonal
Total moment   0.00 μB per cell

Lattice parameters (Å, degrees): 4.993 4.993 4.069 90.00 90.00 90.00
Space group P4/mmm (No. 123)
Asymmetric unit:
Hg  0.000  0.000  0.000 (multiplicity 1)
Bi  0.500  0.500  0.500 (multiplicity 1)
P  0.000  0.500  0.000 (multiplicity 2)
O  0.000  0.000  0.500 (multiplicity 1)